(1)
AlIn3P4 (PBE, relaxed); E_form = -0.30 eV/atom
1.0
5.8325 0.0000 0.0000
0.0000 5.8325 0.0000
0.0000 0.0000 5.8325
Al In P
1 3 4
Direct
0.0000 0.0000 0.0000 Al
0.0000 0.5000 0.5000 In
0.5000 0.0000 0.5000 In
0.5000 0.5000 0.0000 In
0.2382 0.2382 0.2382 P
0.2382 0.7618 0.7618 P
0.7618 0.2382 0.7618 P
0.7618 0.7618 0.2382 P

---

(2)
Y2PdS (PBE, relaxed); formation energy from raw total energies = -1.2567 eV per atom
1.0
3.8855 0.0000 0.0000
-1.9428 3.3650 0.0000
0.0000 0.0000 21.6161
Y Pd S
6 3 3
Direct
0.0000 0.0000 0.0000 Y
0.0000 0.0000 0.1726 Y
0.3333 0.6667 0.6667 Y
0.3333 0.6667 0.8393 Y
0.6667 0.3333 0.3333 Y
0.6667 0.3333 0.5059 Y
0.0000 0.0000 0.5860 Pd
0.3333 0.6667 0.2526 Pd
0.6667 0.3333 0.9193 Pd
0.0000 0.0000 0.7542 S
0.3333 0.6667 0.4209 S
0.6667 0.3333 0.0876 S

---

(3)
Pm2Y2In (PBE, relaxed); E_form = -0.06 eV/atom
1.0
5.4886 0.0000 0.0000
-2.7443 4.7532 0.0000
0.0000 0.0000 12.2122
Pm Y In
4 4 2
Direct
0.3333 0.6667 0.0887 Pm
0.3333 0.6667 0.4113 Pm
0.6667 0.3333 0.5887 Pm
0.6667 0.3333 0.9113 Pm
0.0000 0.0000 0.0000 Y
0.0000 0.0000 0.5000 Y
0.3333 0.6667 0.7500 Y
0.6667 0.3333 0.2500 Y
0.0000 0.0000 0.2500 In
0.0000 0.0000 0.7500 In

---

(4)
MoRuN3 (PBE, relaxed); formation energy from raw total energies = 0.2933 eV per atom
1.0
5.5773 0.0000 0.0000
1.9408 7.8191 0.0000
2.6172 2.8672 7.0878
Mo Ru N
4 4 12
Direct
0.0985 0.1642 0.3927 Mo
0.2112 0.3549 0.9783 Mo
0.7888 0.6451 0.0217 Mo
0.9015 0.8358 0.6073 Mo
0.4590 0.2185 0.6906 Ru
0.4878 0.6416 0.7038 Ru
0.5122 0.3584 0.2962 Ru
0.5410 0.7815 0.3094 Ru
0.1059 0.6348 0.8079 N
0.1864 0.1655 0.9189 N
0.2315 0.9125 0.4132 N
0.2557 0.2243 0.5293 N
0.4287 0.2684 0.1407 N
0.4413 0.5962 0.2820 N
0.5587 0.4038 0.7180 N
0.5713 0.7316 0.8593 N
0.7443 0.7757 0.4707 N
0.7685 0.0875 0.5868 N
0.8136 0.8345 0.0811 N
0.8941 0.3652 0.1921 N

---

(5)
SrSc2Be (PBE, relaxed); E_form = 0.23 eV/atom
1.0
3.5067 0.0000 0.0000
0.0000 3.5067 0.0000
0.0000 0.0000 8.2844
Sr Sc Be
1 2 1
Direct
0.0000 0.0000 0.0000 Sr
0.0000 0.0000 0.4028 Sc
0.5000 0.5000 0.6394 Sc
0.5000 0.5000 0.2724 Be

---

(6)
HfFe2TcB (PBE, relaxed); E_form = -0.24 eV/atom
1.0
3.9321 0.0000 0.0000
0.0000 3.9321 0.0000
0.0000 0.0000 4.2037
Hf Fe Tc B
1 2 1 1
Direct
0.0000 0.0000 0.0000 Hf
0.0000 0.5000 0.5000 Fe
0.5000 0.0000 0.5000 Fe
0.5000 0.5000 0.0000 Tc
0.5000 0.5000 0.5000 B

---

(7)
PmSc3Ru (PBE, relaxed); E_form = -0.16 eV/atom
1.0
5.0676 0.0000 0.0000
0.0000 5.0676 0.0000
0.0000 0.0000 5.0676
Pm Sc Ru
1 3 1
Direct
0.0000 0.0000 0.0000 Pm
0.0000 0.5000 0.5000 Sc
0.5000 0.0000 0.5000 Sc
0.5000 0.5000 0.0000 Sc
0.5000 0.5000 0.5000 Ru

---

(8)
FeRhW2 (PBE, relaxed); E_form = 0.10 eV/atom
1.0
2.8573 0.0000 0.0000
0.0000 3.5870 0.0000
0.0000 0.0000 5.6862
Fe Rh W
1 1 2
Direct
0.0000 0.0000 0.0000 Fe
0.5000 0.5000 0.2550 Rh
0.0000 0.0000 0.4972 W
0.5000 0.5000 0.7851 W

---

(9)
YH2Rh (PBE, relaxed); total DFT energy (no corrections) = -91.01 eV/cell
1.0
5.7239 0.0000 0.0000
0.0000 5.7518 0.0000
-4.1885 0.0000 5.9860
Y H Rh
4 8 4
Direct
0.2253 0.1904 0.4180 Y
0.2253 0.3096 0.9180 Y
0.7747 0.6904 0.0820 Y
0.7747 0.8096 0.5820 Y
0.0213 0.6463 0.9200 H
0.0213 0.8537 0.4200 H
0.4895 0.0802 0.2668 H
0.4895 0.4198 0.7668 H
0.5105 0.5802 0.2332 H
0.5105 0.9198 0.7332 H
0.9787 0.1463 0.5800 H
0.9787 0.3537 0.0800 H
0.2704 0.6534 0.5992 Rh
0.2704 0.8466 0.0992 Rh
0.7296 0.1534 0.9008 Rh
0.7296 0.3466 0.4008 Rh

---

(10)
NdPuTl2 (PBE, relaxed); E_form = -0.17 eV/atom
1.0
5.0303 0.0000 0.0000
0.0000 5.0303 0.0000
0.0000 0.0000 4.5246
Nd Pu Tl
1 1 2
Direct
0.0000 0.0000 0.0000 Nd
0.5000 0.5000 0.0000 Pu
0.0000 0.5000 0.5000 Tl
0.5000 0.0000 0.5000 Tl

---

(11)
Pm4Ho11Er9 (PBE, relaxed); E_form = 0.06 eV/atom
1.0
8.2939 -12.4758 0.0000
8.2939 12.4758 0.0000
0.0000 0.0000 3.6615
Pm Ho Er
4 11 9
Direct
0.0541 0.2549 0.0000 Pm
0.2549 0.0541 0.0000 Pm
0.7451 0.9459 0.0000 Pm
0.9459 0.7451 0.0000 Pm
0.0929 0.4554 0.5000 Ho
0.1350 0.8650 0.5000 Ho
0.2120 0.2120 0.5000 Ho
0.3406 0.6594 0.5000 Ho
0.4554 0.0929 0.5000 Ho
0.5000 0.5000 0.5000 Ho
0.5446 0.9071 0.5000 Ho
0.6594 0.3406 0.5000 Ho
0.7880 0.7880 0.5000 Ho
0.8650 0.1350 0.5000 Ho
0.9071 0.5446 0.5000 Ho
0.0000 0.0000 0.0000 Er
0.1339 0.6627 0.0000 Er
0.2881 0.4338 0.0000 Er
0.3373 0.8661 0.0000 Er
0.4338 0.2881 0.0000 Er
0.5662 0.7119 0.0000 Er
0.6627 0.1339 0.0000 Er
0.7119 0.5662 0.0000 Er
0.8661 0.3373 0.0000 Er

---

(12)
MnGePCN (PBE, relaxed); formation energy from raw total energies = 0.2880 eV per atom
1.0
8.7879 0.0000 0.0000
0.0000 2.8166 0.0000
-0.9105 0.0000 5.0793
Mn Ge P C N
2 2 2 2 2
Direct
0.0000 0.0000 0.0000 Mn
0.5000 0.5000 0.0000 Mn
0.4698 0.0000 0.4113 Ge
0.9698 0.5000 0.4113 Ge
0.2160 0.5000 0.7134 P
0.7160 0.0000 0.7134 P
0.3403 0.0000 0.7002 C
0.8403 0.5000 0.7002 C
0.1536 0.5000 0.9991 N
0.6536 0.0000 0.9991 N

---

(13)
ScCuRh3 (PBE, relaxed); E_form = 1.01 eV/atom
1.0
4.6129 0.0000 0.0000
0.0000 4.6129 0.0000
0.0000 0.0000 4.6129
Sc Cu Rh
1 1 3
Direct
0.0000 0.0000 0.0000 Sc
0.5000 0.5000 0.5000 Cu
0.0000 0.0000 0.5000 Rh
0.0000 0.5000 0.0000 Rh
0.5000 0.0000 0.0000 Rh

---

(14)
Er3Cd2Rh (PBE, relaxed); E_form = -0.52 eV/atom
1.0
5.0261 0.0000 0.0000
0.0000 7.4353 0.0000
-2.5008 0.0000 7.5223
Er Cd Rh
6 4 2
Direct
0.0000 0.2343 0.0000 Er
0.0000 0.7657 0.0000 Er
0.3260 0.2241 0.6522 Er
0.3260 0.7759 0.6522 Er
0.6740 0.2241 0.3478 Er
0.6740 0.7759 0.3478 Er
0.1645 0.5000 0.3300 Cd
0.5000 0.0000 0.0000 Cd
0.5000 0.5000 0.0000 Cd
0.8355 0.5000 0.6700 Cd
0.1596 0.0000 0.3193 Rh
0.8404 0.0000 0.6807 Rh

---

(15)
YGa2Fe2 (PBE, relaxed); E_form = -0.21 eV/atom
1.0
4.1938 0.0000 0.0000
0.0000 4.1938 0.0000
0.0000 0.0000 9.5115
Y Ga Fe
2 4 4
Direct
0.0000 0.0000 0.0000 Y
0.5000 0.5000 0.5000 Y
0.0000 0.5000 0.2500 Ga
0.0000 0.5000 0.7500 Ga
0.5000 0.0000 0.2500 Ga
0.5000 0.0000 0.7500 Ga
0.0000 0.0000 0.3894 Fe
0.0000 0.0000 0.6106 Fe
0.5000 0.5000 0.1106 Fe
0.5000 0.5000 0.8894 Fe

---

(16)
BaZn2Ni (PBE, relaxed); E_form = 0.24 eV/atom
1.0
4.5564 0.0000 0.0000
0.0000 4.5564 0.0000
0.0000 0.0000 8.6599
Ba Zn Ni
2 4 2
Direct
0.0000 0.0000 0.0000 Ba
0.5000 0.5000 0.5000 Ba
0.0000 0.5000 0.2500 Zn
0.0000 0.5000 0.7500 Zn
0.5000 0.0000 0.2500 Zn
0.5000 0.0000 0.7500 Zn
0.0000 0.0000 0.5000 Ni
0.5000 0.5000 0.0000 Ni

---

(17)
BiHBr4 (PBE, relaxed); total DFT energy (no corrections) = -34.56 eV/cell
1.0
6.5740 0.0000 0.0000
0.4529 7.3885 0.0000
0.6023 0.1797 8.7731
Bi H Br
2 2 8
Direct
0.0304 0.2547 0.3776 Bi
0.9696 0.7453 0.6224 Bi
0.4349 0.7682 0.8457 H
0.5651 0.2318 0.1543 H
0.2304 0.3996 0.6157 Br
0.2341 0.8874 0.8660 Br
0.2542 0.9189 0.3836 Br
0.3044 0.3852 0.1524 Br
0.6956 0.6148 0.8476 Br
0.7458 0.0811 0.6164 Br
0.7659 0.1126 0.1340 Br
0.7696 0.6004 0.3843 Br

---

(18)
Ac12OsAu6 (PBE, relaxed); E_form = -0.44 eV/atom
1.0
6.8658 3.9640 4.4537
-6.8658 3.9640 4.4537
0.0000 -7.9280 4.4537
Ac Os Au
12 1 6
Direct
0.0337 0.6849 0.9259 Ac
0.0741 0.9663 0.3151 Ac
0.1862 0.4186 0.5752 Ac
0.3151 0.0741 0.9663 Ac
0.4186 0.5752 0.1862 Ac
0.4248 0.8138 0.5814 Ac
0.5752 0.1862 0.4186 Ac
0.5814 0.4248 0.8138 Ac
0.6849 0.9259 0.0337 Ac
0.8138 0.5814 0.4248 Ac
0.9259 0.0337 0.6849 Ac
0.9663 0.3151 0.0741 Ac
0.0000 0.0000 0.0000 Os
0.1274 0.6261 0.3105 Au
0.3105 0.1274 0.6261 Au
0.3739 0.6895 0.8726 Au
0.6261 0.3105 0.1274 Au
0.6895 0.8726 0.3739 Au
0.8726 0.3739 0.6895 Au

---

(19)
BaSc2Ga2 (PBE, relaxed); E_form = -0.30 eV/atom
1.0
4.6856 0.0000 0.0000
0.0000 4.6856 0.0000
0.0000 0.0000 12.3861
Ba Sc Ga
2 4 4
Direct
0.0000 0.0000 0.0000 Ba
0.5000 0.5000 0.5000 Ba
0.0000 0.5000 0.2500 Sc
0.0000 0.5000 0.7500 Sc
0.5000 0.0000 0.2500 Sc
0.5000 0.0000 0.7500 Sc
0.0000 0.0000 0.3894 Ga
0.0000 0.0000 0.6106 Ga
0.5000 0.5000 0.1106 Ga
0.5000 0.5000 0.8894 Ga